# 1
The following is a PBE-GGA calculation of crystalline LiTm3Pb2 at its relaxed geometry, from Alexandria.

Lattice parameters (Å, degrees): 9.269 9.269 9.269 139.88 57.83 140.16
Positions (direct):
Li 0.250 0.250 0.000
Li 0.750 0.750 0.000
Tm 0.175 0.246 0.421
Tm 0.250 0.750 0.500
Tm 0.325 0.746 0.071
Tm 0.675 0.254 0.929
Tm 0.750 0.250 0.500
Tm 0.825 0.754 0.579
Pb 0.133 0.759 0.892
Pb 0.367 0.259 0.626
Pb 0.633 0.741 0.374
Pb 0.867 0.241 0.108

calculated density = 9.5 g/cm³
energy of formation from the pure elements = -2.0 eV per formula unit

***

# 2
The following is a PBE-GGA calculation of crystalline LiTm5Pb5 at its relaxed geometry, from Alexandria.

Lattice parameters (Å, degrees): 9.083 9.083 7.333 101.47 101.47 33.02
Positions (direct):
Li 0.000 0.000 0.000
Tm 0.000 0.000 0.500
Tm 0.318 0.318 0.892
Tm 0.342 0.342 0.405
Tm 0.658 0.658 0.595
Tm 0.682 0.682 0.108
Pb 0.139 0.139 0.843
Pb 0.155 0.155 0.341
Pb 0.500 0.500 0.000
Pb 0.845 0.845 0.659
Pb 0.861 0.861 0.157

calculated density = 9.7 g/cm³
energy of formation from the pure elements = -2.1 eV per formula unit